A plane-wave DFT calculation with GGA-PBE was carried out for an optimized crystal structure of Ni5GeB.

Geometry as extended XYZ:
```
7
Lattice="-3.4392 0.3320 -0.5486 0.1902 -2.3306 -2.6023 -1.0631 -4.4924 3.9457" Properties=species:S:1:pos:R:3 pbc="T T T"
Ni -2.5737 -3.4432 2.8957
Ni -1.9286 -0.7172 0.5014
Ni -0.7590 -4.7745 1.8689
Ni -0.1139 -2.0484 -0.5255
Ni -2.1561 -3.2455 0.3974
Ge -0.5315 -2.2462 1.9728
B -1.6245 -0.9993 -1.5755
```

Calculated total energy (eV per atom): -5.99
V (Å³/cell): 74.3
E_form (eV per formula unit): -1.7
Density of states at the Fermi level (states/eV/cell): 7.2
Symmetry: No. 123

A plane-wave DFT calculation with GGA-PBE was carried out for an optimized crystal structure of Ni21Ge2B6.

Geometry as extended XYZ:
```
29
Lattice="7.4141 0.0000 0.0000 3.7071 6.4208 0.0000 3.7071 2.1403 6.0536" Properties=species:S:1:pos:R:3 pbc="T T T"
Ni 2.4588 4.2588 0.0000
Ni 5.6536 3.2641 2.3081
Ni 9.1746 3.2641 2.3081
Ni 6.1659 2.1620 0.0000
Ni 3.7071 4.9795 2.0383
Ni 4.9553 4.2588 0.0000
Ni 0.0000 0.0000 0.0000
Ni 2.4588 1.4196 4.0153
Ni 5.6537 5.2970 3.7455
Ni 4.9177 0.0000 0.0000
Ni 7.4141 6.3134 2.3081
Ni 7.4141 4.2806 5.1830
Ni 6.1659 0.7207 2.0383
Ni 2.4965 0.0000 0.0000
Ni 1.2482 0.7207 2.0383
Ni 9.1746 5.2970 3.7455
Ni 4.9553 1.4196 4.0153
Ni 1.2482 2.1620 0.0000
Ni 3.7071 3.5816 4.0153
Ni 7.4141 4.2806 0.8707
Ni 7.4141 2.2477 3.7455
B 5.7319 5.2518 1.6533
B 9.0963 5.2518 1.6533
B 7.4141 2.3381 1.6533
B 5.7319 3.3093 4.4003
B 7.4141 6.2230 4.4003
B 9.0963 3.3093 4.4003
Ge 11.1212 6.4208 4.5402
Ge 3.7071 2.1403 1.5134
```

Calculated total energy (eV per atom): -6.17
V (Å³/cell): 288.2
E_form (eV per formula unit): -8.1
Density of states at the Fermi level (states/eV/cell): 21.4
Symmetry: No. 225

A plane-wave DFT calculation with GGA-PBE was carried out for an optimized crystal structure of Ni5GeB2.

Geometry as extended XYZ:
```
8
Lattice="-2.7091 1.3709 -0.3360 -2.8501 -0.9352 5.2774 -0.5123 3.5852 4.8716" Properties=species:S:1:pos:R:3 pbc="T T T"
B -1.5528 1.0736 3.0139
B -4.5187 2.9473 6.7991
Ni -2.5555 3.3302 6.4190
Ni -3.7170 1.0844 6.6206
Ni -3.5160 0.6908 3.3941
Ni -2.3545 2.9366 3.1924
Ni -1.6812 1.3250 5.0745
Ge 0.0000 0.0000 0.0000
```

Calculated total energy (eV per atom): -6.10
V (Å³/cell): 82.5
E_form (eV per formula unit): -1.9
Density of states at the Fermi level (states/eV/cell): 4.4
Symmetry: No. 71

A plane-wave DFT calculation with GGA-PBE was carried out for an optimized crystal structure of Ni2GeB.

Geometry as extended XYZ:
```
4
Lattice="-0.6450 -1.8811 3.3639 -3.1964 0.7964 2.1023 -2.8809 -2.6287 0.2474" Properties=species:S:1:pos:R:3 pbc="T T T"
Ni -5.0417 -2.7851 4.2852
Ni -1.6806 -0.9284 1.4284
Ge -3.3611 -1.8567 2.8568
B 0.0000 0.0000 0.0000
```

Calculated total energy (eV per atom): -5.47
V (Å³/cell): 42.2
E_form (eV per formula unit): 1.0
Density of states at the Fermi level (states/eV/cell): 1.7
Symmetry: No. 225

Q: Number 4 is which compound?
A: Ni2GeB

Q: What is the formula in the second record?
A: Ni21Ge2B6

Q: Which of these has the highest calculated total energy?
A: Ni2GeB

Repeat the third record exactly.
A plane-wave DFT calculation with GGA-PBE was carried out for an optimized crystal structure of Ni5GeB2.

Geometry as extended XYZ:
```
8
Lattice="-2.7091 1.3709 -0.3360 -2.8501 -0.9352 5.2774 -0.5123 3.5852 4.8716" Properties=species:S:1:pos:R:3 pbc="T T T"
B -1.5528 1.0736 3.0139
B -4.5187 2.9473 6.7991
Ni -2.5555 3.3302 6.4190
Ni -3.7170 1.0844 6.6206
Ni -3.5160 0.6908 3.3941
Ni -2.3545 2.9366 3.1924
Ni -1.6812 1.3250 5.0745
Ge 0.0000 0.0000 0.0000
```

Calculated total energy (eV per atom): -6.10
V (Å³/cell): 82.5
E_form (eV per formula unit): -1.9
Density of states at the Fermi level (states/eV/cell): 4.4
Symmetry: No. 71